{
  "formula": "Sm2GaSi2Ru5",
  "functional": "GGA-PBE",
  "state": "optimized geometry",
  "lattice": [[3.2542, 0.0000, 0.0000], [0.0000, 10.0628, 0.0000], [0.0000, 0.0000, 10.0628]],
  "species": ["Ru", "Sm", "Ru", "Si", "Ru", "Ru", "Ru", "Ru", "Sm", "Ga", "Ru", "Si", "Ga", "Sm", "Sm", "Ru", "Si", "Ru", "Si", "Ru"],
  "fractional_positions": [[0.5000, 0.5662, 0.7082], [0.0000, 0.1735, 0.3265], [0.5000, 0.9338, 0.2082], [0.0000, 0.6273, 0.8727], [0.5000, 0.7918, 0.9338], [0.5000, 0.0000, 0.5000], [0.5000, 0.5000, 0.0000], [0.5000, 0.0662, 0.7918], [0.0000, 0.8265, 0.6735], [0.0000, 0.0000, 0.0000], [0.5000, 0.2082, 0.0662], [0.0000, 0.3727, 0.1273], [0.0000, 0.5000, 0.5000], [0.0000, 0.6735, 0.1735], [0.0000, 0.3265, 0.8265], [0.5000, 0.7082, 0.4338], [0.0000, 0.8727, 0.3727], [0.5000, 0.2918, 0.5662], [0.0000, 0.1273, 0.6273], [0.5000, 0.4338, 0.2918]],
  "dft_energy_ry_per_atom": -0.5527,
  "volume_a3_per_cell": 330,
  "raw_formation_energy_ev_per_atom": -0.551
}

=====

{
  "formula": "Dy8Tl3In2",
  "functional": "GGA-PBE",
  "state": "optimized geometry",
  "lattice": [[5.4428, 0.0000, 0.8387], [0.0000, 9.0278, 0.0000], [-1.2095, -4.5139, 7.8474]],
  "species": ["Tl", "Dy", "In", "Dy", "Dy", "Dy", "Dy", "Dy", "In", "Tl", "Dy", "Tl", "Dy"],
  "fractional_positions": [[0.5000, 0.0000, 0.0000], [0.5001, 0.4065, 0.2364], [0.5001, 0.7747, 0.5495], [0.5001, 0.8299, 0.2364], [0.0000, 0.8912, 0.7824], [0.4999, 0.1701, 0.7636], [0.0001, 0.6801, 0.3602], [0.9999, 0.3199, 0.6398], [0.4999, 0.2253, 0.4505], [0.0000, 0.3177, 0.0000], [0.4999, 0.5935, 0.7636], [0.0000, 0.6823, 0.0000], [0.0000, 0.1088, 0.2176]],
  "dft_energy_ry_per_atom": -0.2884,
  "e_form_kcal_per_mol_atoms": -2.868,
  "volume_a3_per_cell": 395
}

=====

{
  "formula": "Ca2TlHg5",
  "functional": "GGA-PBE",
  "state": "optimized geometry",
  "lattice": [[1.3073, -5.7064, -3.1451], [0.4543, 0.1811, 6.6276], [-6.2607, 2.2252, 0.1276]],
  "species": ["Hg", "Hg", "Tl", "Hg", "Hg", "Ca", "Hg", "Ca"],
  "fractional_positions": [[0.5136, 0.2288, 0.2288], [0.4864, 0.7152, 0.7152], [0.0000, 0.2108, 0.2108], [0.0000, 0.7350, 0.7350], [0.0000, 0.7152, 0.2288], [0.5000, 0.2221, 0.7221], [0.0000, 0.2288, 0.7152], [0.5000, 0.7221, 0.2221]],
  "dft_energy_ry_per_atom": -0.0975,
  "e_form_kcal_per_mol_atoms": -7.896,
  "volume_a3_per_cell": 211
}